(1)
The following is a DFT calculation (PBEsol) of crystalline InCo2Re at its relaxed geometry.

Size of the total moment (μB per atom): 0.15
Crystal system: orthorhombic
E_form (eV/atom): 0.269

The structure in CIF format:
```
data_InCo2Re
_chemical_formula_sum 'In2 Co4 Re2'
_space_group_name_H-M_alt 'C m m m'
_space_group_IT_number 65
_space_group_name_Hall '-C 2 2'
_cell_length_a 5.5749
_cell_length_b 6.9640
_cell_length_c 2.7214
_cell_angle_alpha 90.00
_cell_angle_beta 90.00
_cell_angle_gamma 90.00
loop_
_atom_site_label
_atom_site_type_symbol
_atom_site_fract_x
_atom_site_fract_y
_atom_site_fract_z
In1 In 0.0000 0.0000 0.0000
Co1 Co 0.2500 0.2500 0.5000
Re1 Re 0.0000 0.5000 0.0000
```

(2)
The following is a DFT calculation (PBEsol) of crystalline InCo2Re at its relaxed geometry.

Size of the total moment (μB per atom): 0.24
Crystal system: orthorhombic
E_form (eV/atom): 0.304

The structure in CIF format:
```
data_InCo2Re
_chemical_formula_sum 'In1 Co2 Re1'
_space_group_name_H-M_alt 'P m m 2'
_space_group_IT_number 25
_space_group_name_Hall 'P 2 -2'
_cell_length_a 2.7103
_cell_length_b 3.5046
_cell_length_c 5.7610
_cell_angle_alpha 90.00
_cell_angle_beta 90.00
_cell_angle_gamma 90.00
loop_
_atom_site_label
_atom_site_type_symbol
_atom_site_fract_x
_atom_site_fract_y
_atom_site_fract_z
In1 In 0.0000 0.0000 0.0000
Co1 Co 0.0000 0.0000 0.5241
Co2 Co 0.5000 0.5000 0.7438
Re1 Re 0.5000 0.5000 0.3304
```

(3)
The following is a DFT calculation (PBEsol) of crystalline InCo2Re at its relaxed geometry.

Size of the total moment (μB per atom): 0.03
Crystal system: monoclinic
E_form (eV/atom): 0.253

The structure in CIF format:
```
data_InCo2Re
_chemical_formula_sum 'In2 Co4 Re2'
_space_group_name_H-M_alt 'C 1 m 1'
_space_group_IT_number 8
_space_group_name_Hall 'C -2y'
_cell_length_a 8.8571
_cell_length_b 2.7171
_cell_length_c 4.5296
_cell_angle_alpha 90.00
_cell_angle_beta 102.28
_cell_angle_gamma 90.00
loop_
_atom_site_label
_atom_site_type_symbol
_atom_site_fract_x
_atom_site_fract_y
_atom_site_fract_z
In1 In 0.0000 0.0000 0.0000
Co1 Co 0.0101 0.5000 0.5065
Co2 Co 0.2445 0.0000 0.7981
Re1 Re 0.2710 0.5000 0.3463
```

(4)
The following is a DFT calculation (PBEsol) of crystalline In2CoRe at its relaxed geometry.

Size of the total moment (μB per atom): 0.00
Crystal system: orthorhombic
E_form (eV/atom): 0.469

The structure in CIF format:
```
data_In2CoRe
_chemical_formula_sum 'In2 Co1 Re1'
_space_group_name_H-M_alt 'P m m m'
_space_group_IT_number 47
_space_group_name_Hall '-P 2 2'
_cell_length_a 2.9285
_cell_length_b 3.3609
_cell_length_c 6.3858
_cell_angle_alpha 90.00
_cell_angle_beta 90.00
_cell_angle_gamma 90.00
loop_
_atom_site_label
_atom_site_type_symbol
_atom_site_fract_x
_atom_site_fract_y
_atom_site_fract_z
In1 In 0.0000 0.0000 0.2308
Co1 Co 0.5000 0.5000 0.0000
Re1 Re 0.5000 0.5000 0.5000
```

(5)
The following is a DFT calculation (PBEsol) of crystalline InCo2Re at its relaxed geometry.

Size of the total moment (μB per atom): 0.12
Crystal system: orthorhombic
E_form (eV/atom): 0.328

The structure in CIF format:
```
data_InCo2Re
_chemical_formula_sum 'In2 Co4 Re2'
_space_group_name_H-M_alt 'I m m 2'
_space_group_IT_number 44
_space_group_name_Hall 'I 2 -2'
_cell_length_a 2.7365
_cell_length_b 4.3380
_cell_length_c 9.0631
_cell_angle_alpha 90.00
_cell_angle_beta 90.00
_cell_angle_gamma 90.00
loop_
_atom_site_label
_atom_site_type_symbol
_atom_site_fract_x
_atom_site_fract_y
_atom_site_fract_z
In1 In 0.0000 0.0000 0.0000
Co1 Co 0.0000 0.0000 0.5091
Co2 Co 0.0000 0.5000 0.2339
Re1 Re 0.0000 0.5000 0.7823
```

(6)
The following is a DFT calculation (PBEsol) of crystalline InCo3Rh at its relaxed geometry.

Size of the total moment (μB per atom): 1.18
Crystal system: cubic
E_form (eV/atom): 1.983

The structure in CIF format:
```
data_InCo3Rh
_chemical_formula_sum 'In1 Co3 Rh1'
_space_group_name_H-M_alt 'P m -3 m'
_space_group_IT_number 221
_space_group_name_Hall '-P 4 2 3'
_cell_length_a 4.4922
_cell_length_b 4.4922
_cell_length_c 4.4922
_cell_angle_alpha 90.00
_cell_angle_beta 90.00
_cell_angle_gamma 90.00
loop_
_atom_site_label
_atom_site_type_symbol
_atom_site_fract_x
_atom_site_fract_y
_atom_site_fract_z
In1 In 0.0000 0.0000 0.0000
Co1 Co 0.0000 0.0000 0.5000
Rh1 Rh 0.5000 0.5000 0.5000
```